Record 1
# Cr2CdInTe

Cr2CdInTe after structural relaxation (PBE, the Alexandria database).

It has space group P4/mmm (No. 123), with a = 5.258 Å, b = 5.258 Å, c = 5.687 Å, α = 90.00°, β = 90.00° and γ = 90.00°. Symmetry generates all atoms from Cr at (0.000, 0.500, 0.000), Cd at (0.000, 0.000, 0.500), In at (0.500, 0.500, 0.000) and Te at (0.500, 0.500, 0.500).

The calculation puts the calculated total energy at -4.12 eV/atom.

***

Record 2
# SrLa2W

SrLa2W after structural relaxation (PBE, the Alexandria database).

It has space group Cm (No. 8), with a = 11.604 Å, b = 4.100 Å, c = 6.837 Å, α = 90.00°, β = 119.59° and γ = 90.00°. Symmetry generates all atoms from Sr at (0.000, 0.000, 0.000), La at (0.188, 0.000, 0.677), La at (0.374, 0.000, 0.376) and W at (0.199, 0.500, 0.410).

The value obtained for the formation energy is 665 meV/atom.

***

Record 3
# KLi3Ge

KLi3Ge after structural relaxation (PBE, the Alexandria database).

It has space group Pm-3m (No. 221), with a = 5.053 Å, b = 5.053 Å, c = 5.053 Å, α = 90.00°, β = 90.00° and γ = 90.00°. Symmetry generates all atoms from K at (0.000, 0.000, 0.000), Li at (0.000, 0.500, 0.500) and Ge at (0.500, 0.500, 0.500).

The value obtained for the formation energy is -166 meV/atom.

***

Record 4
# TaMnIn2

TaMnIn2 after structural relaxation (PBE, the Alexandria database).

It has space group Cm (No. 8), with a = 11.168 Å, b = 2.996 Å, c = 5.161 Å, α = 90.00°, β = 115.57° and γ = 90.00°. Symmetry generates all atoms from Ta at (0.000, 0.000, 0.000), Mn at (0.278, 0.000, 0.628), In at (0.023, 0.500, 0.516) and In at (0.255, 0.500, 0.109).

The value obtained for the formation energy is 283 meV/atom.

***

Record 5
# BiI2Cl

BiI2Cl after structural relaxation (PBE, the Alexandria database).

It has space group I-42d (No. 122), with a = 11.201 Å, b = 11.201 Å, c = 5.507 Å, α = 90.00°, β = 90.00° and γ = 90.00°. Symmetry generates all atoms from Bi at (0.000, 0.000, 0.000), I at (0.109, 0.750, 0.125) and Cl at (0.000, 0.000, 0.500).

The calculation puts the calculated total energy at -2.69 eV/atom.

***

Record 6
# AcAlAgGe2

AcAlAgGe2 after structural relaxation (PBE, the Alexandria database).

It has space group I-4m2 (No. 119), with a = 4.311 Å, b = 4.311 Å, c = 12.005 Å, α = 90.00°, β = 90.00° and γ = 90.00°. Symmetry generates all atoms from Ac at (0.000, 0.000, 0.000), Al at (0.000, 0.500, 0.250), Ag at (0.000, 0.500, 0.750) and Ge at (0.000, 0.000, 0.386).

The value obtained for the formation energy is -414 meV/atom.

***

Record 7
# Ni2WCl

Ni2WCl after structural relaxation (PBE, the Alexandria database).

It has space group Cmm2 (No. 35), with a = 3.099 Å, b = 4.598 Å, c = 7.928 Å, α = 90.00°, β = 90.00° and γ = 90.00°. Symmetry generates all atoms from Ni at (0.000, 0.000, 0.000), Ni at (0.000, 0.500, 0.233), W at (0.000, 0.500, 0.755) and Cl at (0.000, 0.000, 0.486).

The calculation puts the calculated total energy at -6.05 eV/atom.

***

Record 8
# Sm2ScGe2

Sm2ScGe2 after structural relaxation (PBE, the Alexandria database).

It has space group Immm (No. 71), with a = 4.288 Å, b = 6.181 Å, c = 9.199 Å, α = 90.00°, β = 90.00° and γ = 90.00°. Symmetry generates all atoms from Sm at (0.000, 0.000, 0.201), Sc at (0.000, 0.500, 0.000) and Ge at (0.000, 0.282, 0.500).

The value obtained for the formation energy is -772 meV/atom.

***

Record 9
# Zr5Ru3

Zr5Ru3 after structural relaxation (PBE, the Alexandria database).

It has space group P4/mmm (No. 123), with a = 3.293 Å, b = 3.293 Å, c = 13.881 Å, α = 90.00°, β = 90.00° and γ = 90.00°. Symmetry generates all atoms from Zr at (0.000, 0.000, 0.000), Zr at (0.000, 0.000, 0.235), Zr at (0.500, 0.500, 0.383), Ru at (0.000, 0.000, 0.500) and Ru at (0.500, 0.500, 0.117).

The value obtained for the formation energy is -476 meV/atom.

***

Record 10
# Hf2ZnAgOs

Hf2ZnAgOs after structural relaxation (PBE, the Alexandria database).

It has space group P4/mmm (No. 123), with a = 5.012 Å, b = 5.012 Å, c = 4.438 Å, α = 90.00°, β = 90.00° and γ = 90.00°. Symmetry generates all atoms from Hf at (0.000, 0.500, 0.000), Zn at (0.000, 0.000, 0.500), Ag at (0.000, 0.000, 0.000) and Os at (0.500, 0.500, 0.500).

The value obtained for the formation energy is 1339 meV/atom.

***

Record 11
# CeBiAu

CeBiAu after structural relaxation (PBE, the Alexandria database).

It has space group Cm (No. 8), with a = 10.993 Å, b = 4.728 Å, c = 6.390 Å, α = 90.00°, β = 98.80° and γ = 90.00°. Symmetry generates all atoms from Ce at (0.000, 0.000, 0.000), Ce at (0.149, 0.500, 0.510), Bi at (0.301, 0.000, 0.814), Bi at (0.441, 0.500, 0.475), Au at (0.173, 0.500, 0.024) and Au at (0.276, 0.000, 0.293).

The value obtained for the formation energy is -579 meV/atom.

***

Record 12
# TaSi3Sb

TaSi3Sb after structural relaxation (PBE, the Alexandria database).

It has space group Pm-3m (No. 221), with a = 4.954 Å, b = 4.954 Å, c = 4.954 Å, α = 90.00°, β = 90.00° and γ = 90.00°. Symmetry generates all atoms from Ta at (0.000, 0.000, 0.000), Si at (0.000, 0.500, 0.500) and Sb at (0.500, 0.500, 0.500).

The calculation puts the calculated total energy at -4.52 eV/atom.

***

What is the formula in the tenth record?
Hf2ZnAgOs

***

Please write out number 2 again, unchanged.
# SrLa2W

SrLa2W after structural relaxation (PBE, the Alexandria database).

It has space group Cm (No. 8), with a = 11.604 Å, b = 4.100 Å, c = 6.837 Å, α = 90.00°, β = 119.59° and γ = 90.00°. Symmetry generates all atoms from Sr at (0.000, 0.000, 0.000), La at (0.188, 0.000, 0.677), La at (0.374, 0.000, 0.376) and W at (0.199, 0.500, 0.410).

The value obtained for the formation energy is 665 meV/atom.

***

What is the formula in the twelfth record?
TaSi3Sb